SmTh2Bi2Te2: optimized geometry, PBE.

Lattice parameters (Å, degrees): 5.943 5.943 15.688 90.00 90.00 90.00
Fractional positions:
Sm: 0.000 0.000 0.000
Sm: 0.500 0.500 0.500
Th: 0.000 0.000 0.387
Th: 0.000 0.000 0.613
Th: 0.500 0.500 0.113
Th: 0.500 0.500 0.887
Bi: 0.000 0.500 0.000
Bi: 0.000 0.500 0.500
Bi: 0.500 0.000 0.000
Bi: 0.500 0.000 0.500
Te: 0.000 0.000 0.197
Te: 0.000 0.000 0.803
Te: 0.500 0.500 0.303
Te: 0.500 0.500 0.697

Calculated values
* symmetry: I4/mmm, No. 139
* crystal system: tetragonal
* ΔE_f (raw): -0.42 eV per atom
* N(E_F): 0.365 states/eV per atom